The following is a DFT calculation (PBE-GGA) of RbAg3Cl4 after structural relaxation.

Cell lengths 4.3680, 7.5145, 8.3940 Å; angles 116.59, 90.00, 90.00 degrees
Atoms (fractional coordinates):
Ag 0.0000 0.5000 0.0000
Ag 0.0000 0.2498 0.4996
Ag 0.0000 0.7502 0.5004
Rb 0.5000 0.0000 0.0000
Cl 0.0000 0.3767 0.2505
Cl 0.0000 0.6232 0.7495
Cl 0.0000 0.1262 0.7495
Cl 0.0000 0.8738 0.2505

Properties
The value obtained for the formation energy from raw total energies is -0.76 eV/atom. The total energy is -2.88 eV per atom. The density is 3.713 Mg/m³. As for the space group: Cmmm, No. 65.